Entry 1:
This record from Alexandria via LeMat-Bulk describes LiGaPt after structural relaxation. The functional is GGA-PBEsol.

It has space group P6_3/mmc (No. 194), with a = 4.1267 Å, b = 4.1267 Å, c = 5.3686 Å, α = 90.00°, β = 90.00° and γ = 120.00°. The inequivalent atoms are Li at (0.3333, 0.6667, 0.2500), Ga at (0.3333, 0.6667, 0.7500) and Pt at (0.0000, 0.0000, 0.0000).

The calculation puts the total energy at -4.74 eV/atom. Its density of states at the Fermi level is 0.78 states/eV/f.u.



Entry 2:
This record from Alexandria via LeMat-Bulk describes KRb2Na2 after structural relaxation. The functional is GGA-PBEsol.

It has space group I4/mmm (No. 139), with a = 4.802 Å, b = 4.802 Å, c = 28.008 Å, α = 90.00°, β = 90.00° and γ = 90.00°. The inequivalent atoms are K at (0.000, 0.000, 0.000), Rb at (0.000, 0.000, 0.377) and Na at (0.000, 0.500, 0.250).

Its density of states at the Fermi level is 3.29 states/eV/f.u. The excess energy over the best structure of this formula in the dataset comes out at 0 meV per atom.